Entry 1:
# AcNdAgBi (PBE, optimized geometry)
# * DOS(E_F): 20.18 states/eV/cell
# * mass density: 9.09 g/cm³
# * ΔH_f (0 K): -0.46 eV/atom
# * total moment: 0.005 Bohr magnetons per cell
data_AcNdAgBi
_chemical_formula_sum 'Ac4 Nd4 Ag4 Bi4'
_cell_length_a 7.951
_cell_length_b 7.951
_cell_length_c 7.951
_cell_angle_alpha 90.00
_cell_angle_beta 90.00
_cell_angle_gamma 90.00
_symmetry_space_group_name_H-M 'P 1'
_symmetry_Int_Tables_number 1
_symmetry_space_group_name_Hall 'P 1'
loop_
_atom_site_label
_atom_site_fract_x
_atom_site_fract_y
_atom_site_fract_z
Ac1 0.000 0.000 0.000
Ac2 0.000 0.500 0.500
Ac3 0.500 0.000 0.500
Ac4 0.500 0.500 0.000
Nd1 0.000 0.000 0.500
Nd2 0.000 0.500 0.000
Nd3 0.500 0.000 0.000
Nd4 0.500 0.500 0.500
Ag1 0.250 0.250 0.750
Ag2 0.250 0.750 0.250
Ag3 0.750 0.250 0.250
Ag4 0.750 0.750 0.750
Bi1 0.250 0.250 0.250
Bi2 0.250 0.750 0.750
Bi3 0.750 0.250 0.750
Bi4 0.750 0.750 0.250

Entry 2:
# Na2BiBr (PBE, optimized geometry)
# * DOS(E_F): 8.83 states/eV/cell
# * mass density: 4.48 g/cm³
# * total moment: 8.000 Bohr magnetons per cell
# * E above lowest polymorph: 163 kJ/mol of formula units
# * formation energy without anion corrections: -398 meV/atom
data_Na2BiBr
_chemical_formula_sum 'Na8 Bi4 Br4'
_cell_length_a 7.920
_cell_length_b 7.920
_cell_length_c 7.920
_cell_angle_alpha 90.00
_cell_angle_beta 90.00
_cell_angle_gamma 90.00
_symmetry_space_group_name_H-M 'P 1'
_symmetry_Int_Tables_number 1
_symmetry_space_group_name_Hall 'P 1'
loop_
_atom_site_label
_atom_site_fract_x
_atom_site_fract_y
_atom_site_fract_z
Na1 0.250 0.250 0.250
Na2 0.250 0.250 0.750
Na3 0.250 0.750 0.250
Na4 0.250 0.750 0.750
Na5 0.750 0.250 0.250
Na6 0.750 0.250 0.750
Na7 0.750 0.750 0.250
Na8 0.750 0.750 0.750
Bi1 0.000 0.000 0.000
Bi2 0.000 0.500 0.500
Bi3 0.500 0.000 0.500
Bi4 0.500 0.500 0.000
Br1 0.000 0.000 0.500
Br2 0.000 0.500 0.000
Br3 0.500 0.000 0.000
Br4 0.500 0.500 0.500

Entry 3:
# Pr5Y2In4 (PBE, optimized geometry)
# * DOS(E_F): 11.73 states/eV/cell
# * mass density: 6.09 g/cm³
# * ΔH_f (0 K): -0.19 eV/atom
# * total moment: 0.001 Bohr magnetons per cell
# * E above lowest polymorph: 117 kJ/mol of formula units
data_Pr5Y2In4
_chemical_formula_sum 'Pr5 Y2 In4'
_cell_length_a 11.884
_cell_length_b 11.884
_cell_length_c 11.884
_cell_angle_alpha 161.64
_cell_angle_beta 136.14
_cell_angle_gamma 47.92
_symmetry_space_group_name_H-M 'P 1'
_symmetry_Int_Tables_number 1
_symmetry_space_group_name_Hall 'P 1'
loop_
_atom_site_label
_atom_site_fract_x
_atom_site_fract_y
_atom_site_fract_z
Pr1 0.000 0.000 0.000
Pr2 0.052 0.345 0.707
Pr3 0.363 0.655 0.707
Pr4 0.637 0.345 0.293
Pr5 0.948 0.655 0.293
Y1 0.418 0.918 0.500
Y2 0.582 0.082 0.500
In1 0.279 0.779 0.500
In2 0.289 0.500 0.789
In3 0.711 0.500 0.211
In4 0.721 0.221 0.500

Entry 4:
# Zn2CdAg7Sb2 (PBE, optimized geometry)
# * DOS(E_F): 3.52 states/eV/cell
# * mass density: 8.78 g/cm³
# * total moment: 0.000 Bohr magnetons per cell
# * formation energy without anion corrections: 40 meV/atom
data_Zn2CdAg7Sb2
_chemical_formula_sum 'Zn2 Cd1 Ag7 Sb2'
_cell_length_a 4.202
_cell_length_b 4.202
_cell_length_c 13.309
_cell_angle_alpha 90.37
_cell_angle_beta 90.37
_cell_angle_gamma 90.28
_symmetry_space_group_name_H-M 'P 1'
_symmetry_Int_Tables_number 1
_symmetry_space_group_name_Hall 'P 1'
loop_
_atom_site_label
_atom_site_fract_x
_atom_site_fract_y
_atom_site_fract_z
Zn1 0.002 0.002 0.183
Zn2 0.998 0.998 0.817
Cd1 0.500 0.500 0.500
Ag1 0.000 0.000 0.500
Ag2 0.000 0.498 0.340
Ag3 0.000 0.502 0.660
Ag4 0.235 0.235 0.000
Ag5 0.498 0.000 0.340
Ag6 0.502 0.000 0.660
Ag7 0.765 0.765 0.000
Sb1 0.499 0.499 0.821
Sb2 0.501 0.501 0.179

Entry 5:
# Sm2NbB2Ru5 (PBE, optimized geometry)
# * DOS(E_F): 11.60 states/eV/cell
# * mass density: 10.16 g/cm³
# * ΔH_f (0 K): -0.39 eV/atom
# * total moment: 0.000 Bohr magnetons per cell
data_Sm2NbB2Ru5
_chemical_formula_sum 'Sm4 Nb2 B4 Ru10'
_cell_length_a 9.783
_cell_length_b 9.783
_cell_length_c 3.146
_cell_angle_alpha 90.00
_cell_angle_beta 90.00
_cell_angle_gamma 90.00
_symmetry_space_group_name_H-M 'P 1'
_symmetry_Int_Tables_number 1
_symmetry_space_group_name_Hall 'P 1'
loop_
_atom_site_label
_atom_site_fract_x
_atom_site_fract_y
_atom_site_fract_z
Sm1 0.176 0.324 0.000
Sm2 0.324 0.824 0.000
Sm3 0.676 0.176 0.000
Sm4 0.824 0.676 0.000
Nb1 0.000 0.000 0.000
Nb2 0.500 0.500 0.000
B1 0.120 0.620 0.000
B2 0.380 0.120 0.000
B3 0.620 0.880 0.000
B4 0.880 0.380 0.000
Ru1 0.000 0.500 0.500
Ru2 0.070 0.781 0.500
Ru3 0.219 0.070 0.500
Ru4 0.281 0.570 0.500
Ru5 0.430 0.281 0.500
Ru6 0.500 0.000 0.500
Ru7 0.570 0.719 0.500
Ru8 0.719 0.430 0.500
Ru9 0.781 0.930 0.500
Ru10 0.930 0.219 0.500

Entry 6:
# TlOsAuO2 (PBE, optimized geometry)
# * DOS(E_F): 1.94 states/eV/cell
# * mass density: 12.23 g/cm³
# * total moment: 0.000 Bohr magnetons per cell
# * formation energy without anion corrections: -435 meV/atom
data_TlOsAuO2
_chemical_formula_sum 'Tl1 Os1 Au1 O2'
_cell_length_a 3.856
_cell_length_b 3.856
_cell_length_c 5.693
_cell_angle_alpha 90.00
_cell_angle_beta 90.00
_cell_angle_gamma 90.00
_symmetry_space_group_name_H-M 'P 1'
_symmetry_Int_Tables_number 1
_symmetry_space_group_name_Hall 'P 1'
loop_
_atom_site_label
_atom_site_fract_x
_atom_site_fract_y
_atom_site_fract_z
Tl1 0.000 0.000 0.000
Os1 0.500 0.500 0.500
Au1 0.500 0.500 0.000
O1 0.000 0.500 0.500
O2 0.500 0.000 0.500

Entry 7:
# Cs2MnBiSe4 (PBE, optimized geometry)
# * DOS(E_F): 7.80 states/eV/cell
# * mass density: 4.47 g/cm³
# * total moment: 7.959 Bohr magnetons per cell
# * formation energy without anion corrections: -683 meV/atom
data_Cs2MnBiSe4
_chemical_formula_sum 'Cs4 Mn2 Bi2 Se8'
_cell_length_a 14.366
_cell_length_b 12.667
_cell_length_c 8.304
_cell_angle_alpha 83.72
_cell_angle_beta 61.21
_cell_angle_gamma 35.07
_symmetry_space_group_name_H-M 'P 1'
_symmetry_Int_Tables_number 1
_symmetry_space_group_name_Hall 'P 1'
loop_
_atom_site_label
_atom_site_fract_x
_atom_site_fract_y
_atom_site_fract_z
Cs1 0.058 0.058 0.692
Cs2 0.308 0.308 0.942
Cs3 0.692 0.692 0.058
Cs4 0.942 0.942 0.308
Mn1 0.375 0.375 0.375
Mn2 0.625 0.625 0.625
Bi1 0.125 0.125 0.125
Bi2 0.875 0.875 0.875
Se1 0.001 0.632 0.561
Se2 0.306 0.561 0.632
Se3 0.368 0.999 0.694
Se4 0.439 0.694 0.999
Se5 0.561 0.306 0.001
Se6 0.632 0.001 0.306
Se7 0.694 0.439 0.368
Se8 0.999 0.368 0.439

Entry 8:
# MnAuCl2 (PBE, optimized geometry)
# * DOS(E_F): 1.02 states/eV/cell
# * mass density: 6.33 g/cm³
# * total moment: 4.419 Bohr magnetons per cell
# * E above lowest polymorph: 80 kJ/mol of formula units
# * formation energy without anion corrections: -227 meV/atom
data_MnAuCl2
_chemical_formula_sum 'Mn1 Au1 Cl2'
_cell_length_a 3.247
_cell_length_b 3.247
_cell_length_c 8.026
_cell_angle_alpha 90.00
_cell_angle_beta 90.00
_cell_angle_gamma 90.00
_symmetry_space_group_name_H-M 'P 1'
_symmetry_Int_Tables_number 1
_symmetry_space_group_name_Hall 'P 1'
loop_
_atom_site_label
_atom_site_fract_x
_atom_site_fract_y
_atom_site_fract_z
Mn1 0.000 0.000 0.000
Au1 0.500 0.500 0.209
Cl1 0.000 0.000 0.410
Cl2 0.500 0.500 0.822

Q: Number 1 is which compound?
A: AcNdAgBi